{"formula": "Ba2LaHfCl", "functional": "PBE", "state": "optimized geometry", "cell": [[6.656, 0.000, 0.000], [0.000, 5.228, 0.000], [0.000, 0.000, 6.656]], "species": ["Cl", "Ba", "Ba", "Hf", "La"], "frac_coords": [[0.500, 0.500, 0.500], [0.000, 0.000, 0.500], [0.500, 0.000, 0.000], [0.000, 0.500, 0.000], [0.000, 0.000, 0.000]], "e_form_raw_ev_per_atom": 0.4764, "space_group": "P4/mmm (123)", "density_g_cm3": 4.50, "dos_ef_per_ev_cell": 5.98}